(1)
An optimized crystal structure of DyScCu6, computed with PBE.

## Properties
Its space group is Pmm2, No. 25. The calculation puts the formation energy at -0.180 eV/atom.

Cell: 4.4412 5.6737 4.8007 Å, 90.00 90.00 90.00°
With the nearest neighbours (Å) after each atom.
Positions (direct):
Dy (0.0000, 0.0000, 0.0000)  12 Cu 2.83-2.90
Sc (0.5000, 0.5000, 0.2972)  12 Cu 2.71-2.87
Cu (0.0000, 0.2695, 0.4966)  7 Cu 2.59-2.88, 2 Sc 2.75, 2 Dy 2.83-2.86
Cu (0.0000, 0.5000, 0.9620)  8 Cu 2.59-2.88, 2 Sc 2.74, 2 Dy 2.84
Cu (0.0000, 0.7305, 0.4966)  7 Cu 2.59-2.88, 2 Sc 2.75, 2 Dy 2.83-2.86
Cu (0.5000, 0.0000, 0.3893)  6 Cu 2.51-2.74
Cu (0.5000, 0.2745, 0.7992)  6 Cu 2.51-2.68, 2 Sc 2.71-2.73
Cu (0.5000, 0.7255, 0.7992)  6 Cu 2.51-2.68, 2 Sc 2.71-2.73

(2)
An optimized crystal structure of DyScCuSe3, computed with PBE.

## Properties
Its space group is Cmcm, No. 63.

Cell: 6.7825 6.7825 10.0482 Å, 90.00 90.00 146.99°
With the nearest neighbours (Å) after each atom.
Positions (direct):
Dy (0.2283, 0.7717, 0.7500)  6 Se 2.90-2.97
Dy (0.7717, 0.2283, 0.2500)  6 Se 2.90-2.97
Sc (0.0000, 0.0000, 0.0000)  6 Se 2.76-2.81
Sc (0.0000, 0.0000, 0.5000)  6 Se 2.76-2.81
Cu (0.4780, 0.5220, 0.2500)  4 Se 2.44-2.48
Cu (0.5220, 0.4780, 0.7500)  4 Se 2.44-2.48
Se (0.0975, 0.9025, 0.2500)  2 Cu 2.48
Se (0.3569, 0.6431, 0.0642)  1 Cu 2.44
Se (0.3569, 0.6431, 0.4358)  1 Cu 2.44
Se (0.6431, 0.3569, 0.5642)  1 Cu 2.44
Se (0.6431, 0.3569, 0.9358)  1 Cu 2.44
Se (0.9025, 0.0975, 0.7500)  2 Cu 2.48

(3)
An optimized crystal structure of DySc2Cu4Si4, computed with PBE.

## Properties
Its space group is Immm, No. 71.

Cell: 7.6350 7.6350 7.6350 Å, 149.88 129.31 60.11°
With the nearest neighbours (Å) after each atom.
Positions (direct):
Dy (0.0000, 0.0000, 0.0000)  6 Si 2.88-2.92
Sc (0.3741, 0.8741, 0.5000)  6 Si 2.83-2.85, 6 Cu 2.88-2.96
Sc (0.6259, 0.1259, 0.5000)  6 Si 2.83-2.85, 6 Cu 2.88-2.96
Cu (0.0221, 0.3286, 0.6935)  4 Si 2.41-2.46, 1 Cu 2.53
Cu (0.3648, 0.6714, 0.6935)  4 Si 2.41-2.46, 1 Cu 2.53
Cu (0.6352, 0.3286, 0.3065)  4 Si 2.41-2.46, 1 Cu 2.53
Cu (0.9779, 0.6714, 0.3065)  4 Si 2.41-2.46, 1 Cu 2.53
Si (0.2209, 0.2209, 0.0000)  6 Cu 2.44-2.46
Si (0.3191, 0.5000, 0.8191)  1 Si 2.37, 2 Cu 2.41
Si (0.6809, 0.5000, 0.1809)  1 Si 2.37, 2 Cu 2.41
Si (0.7791, 0.7791, 0.0000)  6 Cu 2.44-2.46

(4)
An optimized crystal structure of Dy2ScCu4Si4, computed with PBE.

## Properties
Its space group is Immm, No. 71.

Cell: 7.7747 7.7747 7.7747 Å, 149.33 131.25 58.71°
With the nearest neighbours (Å) after each atom.
Positions (direct):
Dy (0.1294, 0.1294, 0.0000)  6 Cu 2.90-3.00, 6 Si 2.97
Dy (0.8706, 0.8706, 0.0000)  6 Cu 2.90-3.00, 6 Si 2.97
Sc (0.5000, 0.0000, 0.5000)  6 Si 2.85-2.88
Cu (0.1396, 0.3313, 0.8083)  4 Si 2.41-2.55, 1 Cu 2.46
Cu (0.4769, 0.6687, 0.8083)  4 Si 2.41-2.55, 1 Cu 2.46
Cu (0.5231, 0.3313, 0.1917)  4 Si 2.41-2.55, 1 Cu 2.46
Cu (0.8604, 0.6687, 0.1917)  4 Si 2.41-2.55, 1 Cu 2.46
Si (0.1916, 0.5000, 0.6916)  2 Cu 2.41, 1 Si 2.46
Si (0.2873, 0.7873, 0.5000)  6 Cu 2.47-2.55
Si (0.7127, 0.2127, 0.5000)  6 Cu 2.47-2.55
Si (0.8084, 0.5000, 0.3084)  2 Cu 2.41, 1 Si 2.46

(5)
An optimized crystal structure of DySc2Cu4Sn4, computed with PBE.

## Properties
Its space group is Immm, No. 71.

Cell: 8.2477 8.2477 8.2477 Å, 149.65 129.59 59.99°
With the nearest neighbours (Å) after each atom.
Positions (direct):
Dy (0.0000, 0.0000, 0.0000)  6 Sn 3.03-3.16
Sc (0.3717, 0.8717, 0.5000)  6 Sn 3.05-3.15, 6 Cu 3.14
Sc (0.6283, 0.1283, 0.5000)  6 Sn 3.05-3.15, 6 Cu 3.14
Cu (0.0167, 0.3278, 0.6889)  4 Sn 2.59-2.67, 1 Cu 2.65
Cu (0.3611, 0.6722, 0.6889)  4 Sn 2.59-2.67, 1 Cu 2.65
Cu (0.6389, 0.3278, 0.3111)  4 Sn 2.59-2.67, 1 Cu 2.65
Cu (0.9833, 0.6722, 0.3111)  4 Sn 2.59-2.67, 1 Cu 2.65
Sn (0.2210, 0.2210, 0.0000)  6 Cu 2.63-2.67
Sn (0.3022, 0.5000, 0.8022)  2 Cu 2.59, 1 Sn 2.78
Sn (0.6978, 0.5000, 0.1978)  2 Cu 2.59, 1 Sn 2.78
Sn (0.7790, 0.7790, 0.0000)  6 Cu 2.63-2.67

(6)
An optimized crystal structure of DyScCu2Sn2, computed with PBE.

## Properties
Its space group is P3m1, No. 156.

Cell: 4.4706 4.4706 7.0420 Å, 90.00 90.00 120.00°
With the nearest neighbours (Å) after each atom.
Positions (direct):
Dy (0.0000, 0.0000, 0.0000)  3 Cu 2.91, 6 Sn 3.09-3.25
Sc (0.0000, 0.0000, 0.4992)  3 Cu 2.85, 6 Sn 3.01-3.16
Cu (0.3333, 0.6667, 0.3276)  4 Sn 2.65-2.76, 3 Sc 2.85
Cu (0.6667, 0.3333, 0.8102)  3 Sn 2.66, 3 Dy 2.91
Sn (0.3333, 0.6667, 0.7199)  4 Cu 2.66-2.76
Sn (0.6667, 0.3333, 0.2405)  3 Cu 2.65

no.,total magnetic moment (μB per cell),total energy (eV per atom)
1,0.01,-4.334
2,0.02,-5.502
3,0.00,-5.529
4,0.01,-5.350
5,0.00,-4.805
6,0.00,-4.966